Ta4CrBr: optimized geometry, PBEsol.

Total DFT energy (no corrections): -9.414 eV per atom
Energy relative to the elements, uncorrected: 972 meV/atom
Calculated volume: 113.7 Å³/f.u.

abc: 7.6906 7.6906 7.6906
angles: 90.00 90.00 90.00
Closest atoms and distances in Å follow each position.
Space group F-43m (No. 216)
Unique sites:
Ta1 0.1239 0.1239 0.3761  6 Ta 2.69-2.74
Cr1 0.2500 0.2500 0.7500  12 Ta 3.19, 4 Br 3.33
Br1 0.0000 0.0000 0.0000  12 Ta 3.19, 4 Cr 3.33